Entry 1:
The following is a DFT calculation (PBE) of crystalline Tb5PrPd2 at its relaxed geometry.

Results
SG: No. 63
ΔH_f (0 K): -2.89 eV/f.u.
Calculated volume: 28.60 Å³ per atom

a = 3.8677 Å, b = 6.7572 Å, c = 18.2722 Å
α = 90.00°, β = 90.00°, γ = 106.63°
Atoms (fractional coordinates):
Pd 0.7407 0.4815 0.1258
Pd 0.2593 0.5185 0.8742
Pd 0.2593 0.5185 0.6258
Pd 0.7407 0.4815 0.3742
Tb 0.9463 0.8926 0.6015
Tb 0.9463 0.8926 0.8985
Tb 0.3447 0.6894 0.4563
Tb 0.6553 0.3106 0.5437
Tb 0.6553 0.3106 0.9563
Tb 0.3447 0.6894 0.0437
Tb 0.0537 0.1074 0.3985
Tb 0.3852 0.7704 0.7500
Tb 0.0537 0.1074 0.1015
Tb 0.6148 0.2296 0.2500
Pr 0.6503 0.3005 0.7500
Pr 0.3497 0.6995 0.2500

---

Entry 2:
The following is a DFT calculation (PBE) of crystalline Tb2PrPd at its relaxed geometry.

Results
SG: No. 62
ΔH_f (0 K): -1.77 eV/f.u.
Calculated volume: 28.96 Å³ per atom

a = 6.5894 Å, b = 7.1611 Å, c = 9.8200 Å
α = 90.00°, β = 90.00°, γ = 90.00°
Atoms (fractional coordinates):
Pr 0.8638 0.0196 0.2500
Pr 0.1362 0.9804 0.7500
Pr 0.6362 0.5196 0.2500
Pr 0.3638 0.4804 0.7500
Tb 0.1702 0.6793 0.0607
Tb 0.6702 0.8207 0.5607
Tb 0.3298 0.1793 0.4393
Tb 0.8298 0.3207 0.9393
Tb 0.1702 0.6793 0.4393
Tb 0.8298 0.3207 0.5607
Tb 0.3298 0.1793 0.0607
Tb 0.6702 0.8207 0.9393
Pd 0.9209 0.6127 0.7500
Pd 0.4209 0.8873 0.2500
Pd 0.5791 0.1127 0.7500
Pd 0.0791 0.3873 0.2500

---

Entry 3:
The following is a DFT calculation (PBE) of crystalline Tb6PrPd3 at its relaxed geometry.

Results
SG: No. 36
ΔH_f (0 K): -4.88 eV/f.u.
Calculated volume: 27.72 Å³ per atom

a = 7.2549 Å, b = 8.7818 Å, c = 8.7818 Å
α = 97.82°, β = 90.00°, γ = 90.00°
Atoms (fractional coordinates):
Pd 0.9548 0.0854 0.2870
Pd 0.9548 0.7130 0.9146
Pd 0.4548 0.2870 0.0854
Pd 0.8788 0.5710 0.4290
Pd 0.4548 0.9146 0.7130
Pd 0.3788 0.4290 0.5710
Pr 0.0366 0.3157 0.6843
Pr 0.5366 0.6843 0.3157
Tb 0.3209 0.5815 0.9656
Tb 0.8209 0.4185 0.0344
Tb 0.3209 0.0344 0.4185
Tb 0.6630 0.9682 0.0318
Tb 0.1684 0.3698 0.2892
Tb 0.1684 0.7108 0.6302
Tb 0.0187 0.7673 0.2327
Tb 0.6684 0.6302 0.7108
Tb 0.1630 0.0318 0.9682
Tb 0.6684 0.2892 0.3698
Tb 0.5187 0.2327 0.7673
Tb 0.8209 0.9656 0.5815

---

Entry 4:
The following is a DFT calculation (PBE) of crystalline Tb3PrPd at its relaxed geometry.

Results
SG: No. 194
ΔH_f (0 K): -1.16 eV/f.u.
Calculated volume: 30.69 Å³ per atom

a = 5.9574 Å, b = 7.7122 Å, c = 7.7121 Å
α = 120.00°, β = 90.00°, γ = 90.00°
Atoms (fractional coordinates):
Pr 0.7498 0.6668 0.3335
Pr 0.2502 0.3332 0.6665
Tb 0.7500 0.1827 0.3654
Tb 0.2500 0.8173 0.6346
Tb 0.7500 0.1827 0.8173
Tb 0.7500 0.6346 0.8173
Tb 0.2500 0.3654 0.1827
Tb 0.2500 0.8173 0.1827
Pd 0.5000 0.0000 0.0000
Pd 0.0000 0.0000 0.0000

---

Entry 5:
The following is a DFT calculation (PBE) of crystalline TbPrPd2 at its relaxed geometry.

Results
SG: No. 166
ΔH_f (0 K): -2.79 eV/f.u.
Calculated volume: 25.58 Å³ per atom

a = 4.1904 Å, b = 4.1904 Å, c = 7.1514 Å
α = 72.96°, β = 72.96°, γ = 60.00°
Atoms (fractional coordinates):
Pr 0.5000 0.5000 0.5000
Pd 0.2549 0.2549 0.2353
Pd 0.7451 0.7451 0.7647
Tb 0.0000 0.0000 0.0000

---

Entry 6:
The following is a DFT calculation (PBE) of crystalline Tb2PrPd at its relaxed geometry.

Results
SG: No. 166
ΔH_f (0 K): -1.20 eV/f.u.
Calculated volume: 29.95 Å³ per atom

a = 3.7615 Å, b = 3.7615 Å, c = 10.0170 Å
α = 79.18°, β = 79.18°, γ = 60.00°
Atoms (fractional coordinates):
Tb 0.2699 0.2699 0.1903
Tb 0.7301 0.7301 0.8097
Pd 0.0000 0.0000 0.0000
Pr 0.5000 0.5000 0.5000

---

Entry 7:
The following is a DFT calculation (PBE) of crystalline Tb2Pr2Pd15 at its relaxed geometry.

Results
SG: No. 166
ΔH_f (0 K): -10.82 eV/f.u.
Calculated volume: 18.57 Å³ per atom

a = 7.1471 Å, b = 7.1471 Å, c = 7.1471 Å
α = 80.99°, β = 80.99°, γ = 80.99°
Atoms (fractional coordinates):
Pd 0.3058 0.0000 0.6942
Pd 0.3495 0.3495 0.8410
Pd 0.0000 0.0000 0.5000
Pd 0.6505 0.6505 0.1590
Pd 0.3058 0.6942 0.0000
Pd 0.6505 0.1590 0.6505
Pd 0.0000 0.5000 0.0000
Pd 0.6942 0.3058 0.0000
Pd 0.0000 0.3058 0.6942
Pd 0.5000 0.0000 0.0000
Pd 0.0000 0.6942 0.3058
Pd 0.6942 0.0000 0.3058
Pd 0.3495 0.8410 0.3495
Pd 0.8410 0.3495 0.3495
Pd 0.1590 0.6505 0.6505
Tb 0.8917 0.8917 0.8917
Tb 0.1083 0.1083 0.1083
Pr 0.3602 0.3602 0.3602
Pr 0.6398 0.6398 0.6398

---

Entry 8:
The following is a DFT calculation (PBE) of crystalline TbPr2Pd at its relaxed geometry.

Results
SG: No. 35
ΔH_f (0 K): -1.47 eV/f.u.
Calculated volume: 29.34 Å³ per atom

a = 5.1599 Å, b = 3.6438 Å, c = 8.8414 Å
α = 90.05°, β = 90.00°, γ = 44.91°
Atoms (fractional coordinates):
Pr 0.8778 0.9993 0.5351
Pr 0.3775 0.9998 0.2276
Pd 0.8775 0.9993 0.0092
Tb 0.3779 0.9987 0.8389

---

Entry 9:
The following is a DFT calculation (PBE) of crystalline Tb2PrPd at its relaxed geometry.

Results
SG: No. 123
ΔH_f (0 K): -1.62 eV/f.u.
Calculated volume: 28.17 Å³ per atom

a = 3.6050 Å, b = 3.6050 Å, c = 8.6702 Å
α = 90.00°, β = 90.00°, γ = 90.00°
Atoms (fractional coordinates):
Tb 0.0000 0.0000 0.8082
Tb 0.0000 0.0000 0.1918
Pd 0.5000 0.5000 0.0000
Pr 0.5000 0.5000 0.5000

---

Entry 10:
The following is a DFT calculation (PBE) of crystalline Tb3PrPd12 at its relaxed geometry.

Results
SG: No. 123
ΔH_f (0 K): -13.34 eV/f.u.
Calculated volume: 17.94 Å³ per atom

a = 4.1489 Å, b = 4.1489 Å, c = 16.6791 Å
α = 90.00°, β = 90.00°, γ = 90.00°
Atoms (fractional coordinates):
Pr 0.0000 0.0000 0.0000
Pd 0.5000 0.0000 0.6237
Pd 0.5000 0.0000 0.1296
Pd 0.0000 0.5000 0.6237
Pd 0.0000 0.5000 0.8704
Pd 0.5000 0.5000 0.2524
Pd 0.0000 0.5000 0.3763
Pd 0.0000 0.5000 0.1296
Pd 0.5000 0.5000 0.7476
Pd 0.5000 0.0000 0.3763
Pd 0.5000 0.5000 0.5000
Pd 0.5000 0.0000 0.8704
Pd 0.5000 0.5000 0.0000
Tb 0.0000 0.0000 0.2533
Tb 0.0000 0.0000 0.7467
Tb 0.0000 0.0000 0.5000

---

Entry 11:
The following is a DFT calculation (PBE) of crystalline Tb3PrPd at its relaxed geometry.

Results
SG: No. 12
ΔH_f (0 K): -1.63 eV/f.u.
Calculated volume: 29.87 Å³ per atom

a = 3.7255 Å, b = 7.0136 Å, c = 11.8964 Å
α = 85.52°, β = 90.00°, γ = 105.40°
Atoms (fractional coordinates):
Pd 0.6043 0.2085 0.5358
Pd 0.3957 0.7915 0.4642
Tb 0.5736 0.1472 0.8583
Tb 0.2314 0.4627 0.6444
Tb 0.0378 0.0756 0.3558
Tb 0.7686 0.5373 0.3556
Tb 0.9622 0.9244 0.6442
Tb 0.4264 0.8528 0.1417
Pr 0.1642 0.3284 0.0941
Pr 0.8358 0.6716 0.9059

---

Entry 12:
The following is a DFT calculation (PBE) of crystalline TbPrPd2 at its relaxed geometry.

Results
SG: No. 38
ΔH_f (0 K): -3.35 eV/f.u.
Calculated volume: 23.96 Å³ per atom

a = 3.8538 Å, b = 4.6148 Å, c = 5.7237 Å
α = 90.00°, β = 109.68°, γ = 90.00°
Atoms (fractional coordinates):
Tb 0.4478 0.5000 0.4340
Pd 0.1665 0.5000 0.8722
Pd 0.9958 0.0000 0.5304
Pr 0.7209 0.0000 0.9814